# PuGaPt4 (PBE, optimized geometry)
data_PuGaPt4
_chemical_formula_sum 'Pu4 Ga4 Pt16'
_cell_length_a 7.6030
_cell_length_b 7.6030
_cell_length_c 7.6030
_cell_angle_alpha 90.00
_cell_angle_beta 90.00
_cell_angle_gamma 90.00
_symmetry_space_group_name_H-M 'F -4 3 m'
_symmetry_Int_Tables_number 216
_symmetry_space_group_name_Hall 'F -4 2 3'
loop_
_atom_site_label
_atom_site_fract_x
_atom_site_fract_y
_atom_site_fract_z
_atom_site_occupancy
Pu1 0.0000 0.0000 0.0000 1
Ga1 0.2500 0.2500 0.2500 1
Pt1 0.1245 0.1245 0.6245 1
# * distance to the lowest polymorph of the same formula: 3.4 kJ per mole of atoms
# * volume: 18.312 Å³ per atom
# * ΔE_f: -0.61 eV per atom
# * total DFT energy (no corrections): -7.5327 eV per atom
# * total magnetic moment: 19.87 μB per cell